Entry from the Alexandria database: BPdSN2 after structural relaxation (PBE).

The space group is P4/mmm (No. 123) and the conventional cell measures 3.8920, 3.8920 and 5.1284 Å, with angles of 90.00, 90.00 and 90.00 degrees. The distinct sites, in fractional coordinates, are B at (0.0000, 0.0000, 0.0000), Pd at (0.5000, 0.5000, 0.5000), S at (0.5000, 0.5000, 0.0000) and N at (0.0000, 0.5000, 0.5000).

The value obtained for the total energy is -4.303 eV per atom. As for the relative energy among the computed polymorphs: 1.220 eV/atom. As for the density of states at the Fermi level: 0.812 states/eV per atom. As for the uncorrected formation energy: 2.227 eV/atom. The calculation puts the spin magnetization at 3.4 μB per formula unit.